A plane-wave DFT calculation with PBE-GGA was carried out for a relaxed structure of LaEr7Tm3.

Output
Space group: No. 71
E, eV per atom: -4.30
Spin magnetization, μB/cell: 0.000

Geometry as POSCAR:
```
LaEr7Tm3
1.0
5.740 -0.179 -0.229
-2.594 7.871 1.055
-2.594 -0.885 7.892
La Er Tm
1 7 3
Cartesian
0.276 3.404 4.359 La
0.115 1.398 1.790 Er
-2.434 7.158 5.690 Er
2.986 3.023 0.394 Er
-2.434 3.785 8.324 Er
-2.594 3.493 4.473 Er
2.986 -0.351 3.028 Er
0.437 5.410 6.928 Er
-2.594 6.079 2.455 Tm
2.870 -0.089 -0.114 Tm
-2.594 0.908 6.492 Tm
```

=====

A plane-wave DFT calculation with PBE-GGA was carried out for a relaxed structure of La2Er12Tm5.

Output
Space group: No. 2
E, eV per atom: -4.55
Spin magnetization, μB/cell: 0.000

Geometry as POSCAR:
```
La2Er12Tm5
1.0
1.412 -5.629 -1.910
6.190 3.155 -7.981
2.077 -2.527 12.291
La Er Tm
2 12 5
Cartesian
7.706 -2.662 2.186 La
1.973 -2.339 0.213 La
2.587 -5.746 0.943 Er
6.921 -0.437 4.839 Er
5.488 -1.314 -6.739 Er
4.618 -0.208 -0.835 Er
5.374 -2.455 -3.449 Er
7.872 -1.496 -1.159 Er
1.807 -3.505 3.559 Er
5.062 -4.794 3.234 Er
4.305 -2.546 5.848 Er
2.758 -4.565 -2.440 Er
4.191 -3.687 9.139 Er
7.092 0.745 1.456 Er
4.438 -1.374 2.525 Tm
4.723 0.931 -4.137 Tm
1.039 -1.264 6.145 Tm
4.956 -5.932 6.536 Tm
5.241 -3.627 -0.125 Tm
```

=====

A plane-wave DFT calculation with PBE-GGA was carried out for a relaxed structure of LaEr3Tm.

Output
Space group: No. 63
E, eV per atom: -4.43
Spin magnetization, μB/cell: 0.000

Geometry as POSCAR:
```
LaEr3Tm
1.0
-4.048 -1.708 -3.198
6.910 -3.226 -7.024
0.352 -10.566 5.198
La Er Tm
4 12 4
Cartesian
3.318 -8.032 -4.524 La
-2.302 -3.038 -4.695 La
-0.104 -7.468 -0.499 La
5.515 -12.462 -0.328 La
-3.329 -10.451 0.567 Er
2.109 -9.975 -1.954 Er
4.698 -11.184 -4.586 Er
3.953 -3.840 -2.958 Er
6.542 -5.049 -5.590 Er
1.104 -5.525 -3.069 Er
-1.485 -4.316 -0.437 Er
-0.740 -11.660 -2.065 Er
3.216 -5.104 -5.969 Er
1.840 -4.261 -0.059 Er
-0.003 -10.396 0.945 Er
1.374 -11.239 -4.964 Er
-2.024 -0.854 -1.599 Tm
3.631 -6.896 -0.913 Tm
0.176 -5.283 2.599 Tm
1.431 -2.467 -5.111 Tm
```

=====

A plane-wave DFT calculation with PBE-GGA was carried out for a relaxed structure of LaEr2Tm6.

Output
Space group: No. 136
E, eV per atom: -4.51
Spin magnetization, μB/cell: 0.000

Geometry as POSCAR:
```
LaEr2Tm6
1.0
4.991 0.000 0.226
0.000 10.557 0.000
-0.477 0.000 10.546
La Er Tm
2 4 12
Cartesian
2.496 5.278 0.113 La
-0.238 0.000 5.273 La
-0.396 3.492 8.764 Er
2.176 8.769 7.168 Er
2.338 1.788 3.604 Er
4.910 7.065 2.007 Er
4.913 0.005 1.960 Tm
4.752 7.014 5.500 Tm
4.595 7.060 8.988 Tm
2.177 1.782 7.170 Tm
2.019 1.736 10.657 Tm
2.336 5.283 3.652 Tm
-0.398 10.552 8.812 Tm
-0.238 3.543 5.271 Tm
-0.080 3.497 1.784 Tm
2.338 8.775 3.602 Tm
2.495 8.821 0.115 Tm
2.179 5.273 7.120 Tm
```

=====

A plane-wave DFT calculation with PBE-GGA was carried out for a relaxed structure of La5Er5Tm2.

Output
Space group: No. 12
E, eV per atom: -4.67
Spin magnetization, μB/cell: 0.000

Geometry as POSCAR:
```
La5Er5Tm2
1.0
4.965 0.000 1.120
2.650 10.444 -0.183
0.815 -1.342 7.952
La Er Tm
5 5 2
Cartesian
4.319 2.089 3.985 La
6.228 1.630 7.085 La
2.202 7.472 1.804 La
4.111 7.012 4.905 La
0.000 0.000 0.000 La
1.733 4.551 3.885 Er
6.045 6.548 7.897 Er
1.924 -0.449 3.038 Er
6.507 9.551 5.851 Er
2.385 2.553 0.993 Er
3.656 4.111 6.923 Tm
4.774 4.990 1.966 Tm
```

=====

A plane-wave DFT calculation with PBE-GGA was carried out for a relaxed structure of LaEr12Tm7.

Output
Space group: No. 148
E, eV per atom: -4.31
Spin magnetization, μB/cell: 0.000

Geometry as POSCAR:
```
LaEr12Tm7
1.0
8.347 1.210 1.817
-1.159 8.355 1.817
-1.159 -1.541 8.410
La Er Tm
1 12 7
Cartesian
0.000 0.000 0.000 La
5.370 1.921 7.264 Er
5.679 3.513 3.992 Er
3.100 0.876 3.888 Er
6.051 5.677 7.572 Er
1.795 1.207 7.473 Er
3.770 4.142 9.737 Er
2.260 3.882 2.306 Er
4.235 6.817 4.570 Er
-0.021 2.347 4.471 Er
2.930 7.148 8.155 Er
0.352 4.511 8.051 Er
0.660 6.103 4.780 Er
7.455 6.267 4.009 Tm
2.083 7.754 2.282 Tm
6.868 0.505 4.716 Tm
3.015 4.012 6.022 Tm
-0.838 7.519 7.328 Tm
3.947 0.270 9.761 Tm
-1.425 1.757 8.034 Tm
```

=====

A plane-wave DFT calculation with PBE-GGA was carried out for a relaxed structure of LaEr3Tm12.

Output
Space group: No. 123
E, eV per atom: -4.49
Spin magnetization, μB/cell: 0.000

Geometry as POSCAR:
```
LaEr3Tm12
1.0
-2.391 3.789 -2.127
-4.228 -1.467 2.138
4.021 11.394 15.773
La Er Tm
1 3 12
Cartesian
0.000 0.000 0.000 La
1.013 2.869 3.972 Er
2.011 5.697 7.887 Er
3.008 8.524 11.801 Er
-3.309 1.161 0.005 Tm
-2.292 4.043 3.996 Tm
-1.299 6.858 7.892 Tm
-0.306 9.672 11.788 Tm
-0.677 3.364 0.970 Tm
0.317 6.181 4.870 Tm
1.313 9.002 8.775 Tm
2.307 11.819 12.676 Tm
-1.595 0.735 3.103 Tm
-0.601 3.553 7.003 Tm
0.394 6.374 10.908 Tm
1.389 9.191 14.808 Tm
```

=====

A plane-wave DFT calculation with PBE-GGA was carried out for a relaxed structure of LaEr10Tm4.

Output
Space group: No. 87
E, eV per atom: -4.06
Spin magnetization, μB/cell: 0.000

Geometry as POSCAR:
```
LaEr10Tm4
1.0
-4.998 7.498 -5.588
-5.635 -1.111 -6.511
-7.689 3.649 1.715
La Er Tm
1 10 4
Cartesian
0.000 0.000 0.000 La
-7.911 3.144 -3.795 Er
-12.417 8.229 -4.636 Er
-7.919 8.262 -5.345 Er
-12.090 4.305 -6.924 Er
-9.216 6.776 -9.450 Er
-5.904 1.808 -5.748 Er
-10.410 6.893 -6.589 Er
-9.106 3.261 -0.934 Er
-6.232 5.731 -3.460 Er
-10.403 1.775 -5.039 Er
-8.285 4.271 -6.978 Tm
-13.317 7.464 -8.253 Tm
-5.005 2.573 -2.131 Tm
-10.037 5.766 -3.406 Tm
```

=====

A plane-wave DFT calculation with PBE-GGA was carried out for a relaxed structure of LaEr6Tm3.

Output
Space group: No. 146
E, eV per atom: -4.29
Spin magnetization, μB/cell: 0.011

Geometry as POSCAR:
```
LaEr6Tm3
1.0
8.584 0.000 4.555
3.083 8.011 4.555
2.150 1.476 6.315
La Er Tm
1 6 3
Cartesian
11.142 7.651 10.100 La
10.129 4.934 8.530 Er
5.483 7.681 7.066 Er
6.195 2.359 5.504 Er
3.551 4.415 7.158 Er
8.216 1.729 8.654 Er
7.443 7.047 10.182 Er
6.365 4.370 8.737 Tm
7.640 5.246 6.335 Tm
2.920 2.005 4.863 Tm
```

=====

A plane-wave DFT calculation with PBE-GGA was carried out for a relaxed structure of La3Er3Tm2.

Output
Space group: No. 2
E, eV per atom: -4.59
Spin magnetization, μB/cell: 0.004

Geometry as POSCAR:
```
La3Er3Tm2
1.0
5.482 -0.007 -1.590
-0.451 5.778 -1.530
-0.412 -0.928 8.813
La Er Tm
3 3 2
Cartesian
0.376 3.063 1.307 La
4.242 1.780 4.387 La
0.000 0.000 0.000 La
3.284 0.824 1.086 Er
2.515 2.885 -1.560 Er
1.334 4.019 4.607 Er
1.084 0.592 3.749 Tm
3.535 4.251 1.944 Tm
```

=====

A plane-wave DFT calculation with PBE-GGA was carried out for a relaxed structure of La12Er5Tm2.

Output
Space group: No. 12
E, eV per atom: -4.63
Spin magnetization, μB/cell: 0.000

Geometry as POSCAR:
```
La12Er5Tm2
1.0
-6.176 1.743 -4.059
-2.864 -4.863 9.373
-3.547 5.396 7.713
La Er Tm
12 5 2
Cartesian
-9.754 -1.985 6.887 La
-5.298 1.359 12.465 La
-8.620 2.296 10.281 La
-4.178 -0.568 9.675 La
-7.276 0.306 7.639 La
-8.195 -0.183 12.391 La
-4.392 2.459 0.636 La
-8.410 2.845 3.352 La
-5.312 1.971 5.388 La
-7.290 0.917 0.562 La
-3.967 -0.020 2.746 La
-2.833 4.261 6.140 La
-4.968 3.057 8.872 Er
-4.428 -1.693 6.010 Er
-1.774 2.698 3.857 Er
-8.160 3.969 7.016 Er
-7.619 -0.781 4.155 Er
-4.315 1.218 -2.836 Tm
-1.861 0.525 -1.223 Tm
```

=====

A plane-wave DFT calculation with PBE-GGA was carried out for a relaxed structure of La5Er6Tm.

Output
Space group: No. 12
E, eV per atom: -4.68
Spin magnetization, μB/cell: 0.000

Geometry as POSCAR:
```
La5Er6Tm
1.0
-3.217 2.618 4.543
-1.483 -6.615 2.766
6.381 -2.729 6.595
Er Tm La
6 1 5
Cartesian
-1.434 -2.600 7.576 Er
-0.690 0.719 6.188 Er
3.658 -6.394 10.945 Er
-1.977 -0.332 2.959 Er
2.370 -7.445 7.716 Er
3.115 -4.126 6.328 Er
0.000 0.000 0.000 Tm
1.886 -1.164 7.932 La
0.565 -2.241 4.642 La
-0.741 -3.307 1.383 La
1.116 -4.485 9.262 La
-0.205 -5.562 5.972 La
```

=====

DFT formation energy (eV per atom)
0.267, 0.030, 0.186, 0.032, 0.034, 0.240, 0.031, 0.506, 0.286, 0.089, 0.156, 0.031